# 1
! GGA-PBEsol TcPO2, optimized geometry; values from VASP
! DOS at the Fermi energy	1.1	states/eV per cell
! total moment	0.0	μB per cell
! SG	No. 166
! E	-7.715	eV/atom
&SYSTEM
  ibrav = 0, nat = 4, ntyp = 3
/
ATOMIC_SPECIES
P 30.97 P.upf
Tc 98.00 Tc.upf
O 16.00 O.upf
ATOMIC_POSITIONS crystal
P 0.000 0.000 0.000
Tc 0.500 0.500 0.500
O 0.902 0.902 0.294
O 0.098 0.098 0.706
CELL_PARAMETERS angstrom
-0.303 -0.347 -2.689
2.181 0.055 -1.637
1.354 -6.564 -0.690

# 2
! GGA-PBEsol Al2SbTe, optimized geometry; values from VASP
! DOS at the Fermi energy	1.8	states/eV per cell
! energy above the lowest structure with this stoichiometry	6.92	kcal/mol of atoms
! total moment	0.0	μB per cell
! SG	No. 119
&SYSTEM
  ibrav = 0, nat = 4, ntyp = 3
/
ATOMIC_SPECIES
Sb 121.76 Sb.upf
Te 127.60 Te.upf
Al 26.98 Al.upf
ATOMIC_POSITIONS crystal
Sb 0.500 0.500 0.000
Te 0.250 0.750 0.500
Al 0.000 0.000 0.000
Al 0.750 0.250 0.500
CELL_PARAMETERS angstrom
4.120 0.000 0.000
0.000 4.120 0.000
-2.060 -2.060 5.398

# 3
! GGA-PBEsol CuTc2, optimized geometry; values from VASP
! DOS at the Fermi energy	2.0	states/eV per cell
! energy relative to the elements	0.160	eV/atom
! energy above the lowest structure with this stoichiometry	1.33	kcal/mol of atoms
! total moment	0.0	μB per cell
! SG	No. 139
&SYSTEM
  ibrav = 0, nat = 3, ntyp = 2
/
ATOMIC_SPECIES
Cu 63.55 Cu.upf
Tc 98.00 Tc.upf
ATOMIC_POSITIONS crystal
Cu 0.000 0.000 0.000
Tc 0.332 0.332 0.663
Tc 0.668 0.668 0.337
CELL_PARAMETERS angstrom
3.102 0.000 0.000
0.000 3.102 0.000
-1.551 -1.551 4.107

# 4
! GGA-PBEsol CdFe2Re, optimized geometry; values from VASP
! DOS at the Fermi energy	4.4	states/eV per cell
! energy relative to the elements	0.399	eV/atom
! total moment	3.4	μB per cell
! SG	No. 8
&SYSTEM
  ibrav = 0, nat = 4, ntyp = 3
/
ATOMIC_SPECIES
Cd 112.41 Cd.upf
Fe 55.84 Fe.upf
Re 186.21 Re.upf
ATOMIC_POSITIONS crystal
Cd 0.259 0.780 0.518
Fe 0.023 0.003 0.045
Fe 0.738 0.268 0.475
Re 0.481 0.448 0.962
CELL_PARAMETERS angstrom
-2.019 1.195 1.349
-0.598 -3.771 2.445
4.053 1.953 1.622

# 5
! GGA-PBEsol ScCr4Ag, optimized geometry; values from VASP
! DOS at the Fermi energy	8.4	states/eV per cell
! energy relative to the elements	0.328	eV/atom
! total moment	0.0	μB per cell
! SG	No. 216
&SYSTEM
  ibrav = 0, nat = 6, ntyp = 3
/
ATOMIC_SPECIES
Ag 107.87 Ag.upf
Cr 52.00 Cr.upf
Sc 44.96 Sc.upf
ATOMIC_POSITIONS crystal
Ag 0.000 0.000 0.000
Cr 0.376 0.376 0.376
Cr 0.376 0.376 0.872
Cr 0.872 0.376 0.376
Cr 0.376 0.872 0.376
Sc 0.750 0.750 0.750
CELL_PARAMETERS angstrom
4.870 0.000 0.000
2.435 4.217 0.000
2.435 1.406 3.976

# 6
! GGA-PBEsol ZrSbCl2, optimized geometry; values from VASP
! DOS at the Fermi energy	3.4	states/eV per cell
! energy above the lowest structure with this stoichiometry	3.84	kcal/mol of atoms
! total moment	0.0	μB per cell
! SG	No. 65
&SYSTEM
  ibrav = 0, nat = 4, ntyp = 3
/
ATOMIC_SPECIES
Sb 121.76 Sb.upf
Zr 91.22 Zr.upf
Cl 35.45 Cl.upf
ATOMIC_POSITIONS crystal
Sb 0.500 0.000 0.000
Zr 0.500 0.500 0.500
Cl 0.000 0.500 0.000
Cl 0.000 0.000 0.500
CELL_PARAMETERS angstrom
3.091 0.000 0.000
0.000 5.398 0.012
0.000 -2.008 5.011

# 7
! GGA-PBEsol SrFe2Sn2, optimized geometry; values from VASP
! DOS at the Fermi energy	5.0	states/eV per cell
! energy relative to the elements	0.024	eV/atom
! total moment	3.3	μB per cell
! SG	No. 139
&SYSTEM
  ibrav = 0, nat = 5, ntyp = 3
/
ATOMIC_SPECIES
Sr 87.62 Sr.upf
Sn 118.71 Sn.upf
Fe 55.84 Fe.upf
ATOMIC_POSITIONS crystal
Sr 0.000 0.000 0.000
Sn 0.250 0.750 0.500
Sn 0.750 0.250 0.500
Fe 0.391 0.391 0.781
Fe 0.609 0.609 0.219
CELL_PARAMETERS angstrom
4.593 0.000 0.000
0.000 4.593 0.000
-2.296 -2.296 4.851

# 8
! GGA-PBEsol LiPdIO2, optimized geometry; values from VASP
! DOS at the Fermi energy	2.3	states/eV per cell
! total moment	1.8	μB per cell
! SG	No. 123
! E	-4.354	eV/atom
&SYSTEM
  ibrav = 0, nat = 5, ntyp = 4
/
ATOMIC_SPECIES
I 126.90 I.upf
O 16.00 O.upf
Pd 106.42 Pd.upf
Li 6.94 Li.upf
ATOMIC_POSITIONS crystal
I 0.000 0.000 0.500
O 0.000 0.500 0.000
O 0.500 0.000 0.000
Pd 0.000 0.000 0.000
Li 0.500 0.500 0.500
CELL_PARAMETERS angstrom
-3.091 2.353 0.259
-0.673 -0.464 -3.807
-3.382 -4.569 1.154

> Look up the total moment of the third one.

0.0 μB per cell

> DOS at the Fermi energy of number 1 (TcPO2)?

1.1 states/eV per cell

> DOS at the Fermi energy of number 4 (CdFe2Re)?

4.4 states/eV per cell